# LiPrY2Au4 (PBE, optimized geometry)
data_LiPrY2Au4
_space_group_name_H-M_alt 'P 1'
_space_group_IT_number 1
_space_group_name_Hall 'P 1'
_cell_length_a 5.016
_cell_length_b 5.016
_cell_length_c 8.926
_cell_angle_alpha 73.68
_cell_angle_beta 73.68
_cell_angle_gamma 60.00
loop_
_atom_site_label
_atom_site_fract_x
_atom_site_fract_y
_atom_site_fract_z
Pr1 0.000 0.000 0.000
Y1 0.761 0.761 0.717
Y2 0.239 0.239 0.283
Au1 0.121 0.121 0.636
Au2 0.611 0.611 0.167
Au3 0.389 0.389 0.833
Au4 0.879 0.879 0.364
Li1 0.500 0.500 0.500
# **SG**: No. 166
# **Formation energy**: -71.5 kJ per mole of atoms
# **Mass density**: 10.05 g/cm³

# LiPrZn2Au4 (PBE, optimized geometry)
data_LiPrZn2Au4
_space_group_name_H-M_alt 'P 1'
_space_group_IT_number 1
_space_group_name_Hall 'P 1'
_cell_length_a 4.502
_cell_length_b 4.502
_cell_length_c 9.037
_cell_angle_alpha 75.58
_cell_angle_beta 75.58
_cell_angle_gamma 60.00
loop_
_atom_site_label
_atom_site_fract_x
_atom_site_fract_y
_atom_site_fract_z
Zn1 0.761 0.761 0.717
Zn2 0.239 0.239 0.283
Au1 0.601 0.601 0.197
Au2 0.132 0.132 0.604
Au3 0.399 0.399 0.803
Au4 0.868 0.868 0.396
Pr1 0.000 0.000 0.000
Li1 0.500 0.500 0.500
# **SG**: No. 166
# **Formation energy**: -49.1 kJ per mole of atoms
# **Mass density**: 11.66 g/cm³

# LiPr2Zn3Au4 (PBE, optimized geometry)
data_LiPr2Zn3Au4
_space_group_name_H-M_alt 'P 1'
_space_group_IT_number 1
_space_group_name_Hall 'P 1'
_cell_length_a 4.195
_cell_length_b 4.195
_cell_length_c 11.842
_cell_angle_alpha 90.00
_cell_angle_beta 90.00
_cell_angle_gamma 90.00
loop_
_atom_site_label
_atom_site_fract_x
_atom_site_fract_y
_atom_site_fract_z
Au1 0.000 0.000 0.000
Au2 0.000 0.500 0.355
Au3 0.500 0.000 0.645
Au4 0.500 0.500 0.000
Zn1 0.000 0.500 0.135
Zn2 0.500 0.000 0.865
Zn3 0.000 0.000 0.500
Pr1 0.500 0.000 0.243
Pr2 0.000 0.500 0.757
Li1 0.500 0.500 0.500
# **SG**: No. 115
# **Formation energy**: -50.6 kJ per mole of atoms
# **Mass density**: 10.14 g/cm³

# LiPr2Zn4Au3 (PBE, optimized geometry)
data_LiPr2Zn4Au3
_space_group_name_H-M_alt 'P 1'
_space_group_IT_number 1
_space_group_name_Hall 'P 1'
_cell_length_a 4.166
_cell_length_b 4.166
_cell_length_c 11.865
_cell_angle_alpha 90.00
_cell_angle_beta 90.00
_cell_angle_gamma 90.00
loop_
_atom_site_label
_atom_site_fract_x
_atom_site_fract_y
_atom_site_fract_z
Zn1 0.500 0.000 0.636
Zn2 0.000 0.500 0.364
Zn3 0.500 0.500 0.000
Zn4 0.000 0.000 0.000
Li1 0.500 0.500 0.500
Pr1 0.500 0.000 0.248
Pr2 0.000 0.500 0.752
Au1 0.000 0.000 0.500
Au2 0.500 0.000 0.858
Au3 0.000 0.500 0.142
# **SG**: No. 115
# **Formation energy**: -46.7 kJ per mole of atoms
# **Mass density**: 9.20 g/cm³

# Li2PtAu4 (PBE, optimized geometry)
data_Li2PtAu4
_space_group_name_H-M_alt 'P 1'
_space_group_IT_number 1
_space_group_name_Hall 'P 1'
_cell_length_a 4.057
_cell_length_b 6.330
_cell_length_c 4.951
_cell_angle_alpha 83.19
_cell_angle_beta 114.19
_cell_angle_gamma 90.00
loop_
_atom_site_label
_atom_site_fract_x
_atom_site_fract_y
_atom_site_fract_z
Au1 0.858 0.422 0.716
Au2 0.421 0.736 0.842
Au3 0.579 0.264 0.158
Au4 0.142 0.578 0.284
Li1 0.710 0.854 0.421
Li2 0.290 0.146 0.579
Pt1 0.000 0.000 0.000
# **SG**: No. 12
# **Formation energy**: -33.2 kJ per mole of atoms
# **Mass density**: 14.40 g/cm³

# Li5PtAu (PBE, optimized geometry)
data_Li5PtAu
_space_group_name_H-M_alt 'P 1'
_space_group_IT_number 1
_space_group_name_Hall 'P 1'
_cell_length_a 4.313
_cell_length_b 4.313
_cell_length_c 6.162
_cell_angle_alpha 90.00
_cell_angle_beta 90.00
_cell_angle_gamma 89.97
loop_
_atom_site_label
_atom_site_fract_x
_atom_site_fract_y
_atom_site_fract_z
Li1 0.500 0.000 0.780
Li2 0.000 0.000 0.500
Li3 0.500 0.000 0.220
Li4 0.000 0.500 0.780
Li5 0.000 0.500 0.220
Au1 0.500 0.500 0.500
Pt1 0.000 0.000 0.000
# **SG**: No. 123
# **Formation energy**: -36.2 kJ per mole of atoms
# **Mass density**: 6.18 g/cm³

# Li2PtAu2 (PBE, optimized geometry)
data_Li2PtAu2
_space_group_name_H-M_alt 'P 1'
_space_group_IT_number 1
_space_group_name_Hall 'P 1'
_cell_length_a 7.312
_cell_length_b 7.312
_cell_length_c 2.907
_cell_angle_alpha 90.00
_cell_angle_beta 90.00
_cell_angle_gamma 90.00
loop_
_atom_site_label
_atom_site_fract_x
_atom_site_fract_y
_atom_site_fract_z
Li1 0.838 0.338 0.500
Li2 0.662 0.838 0.500
Li3 0.338 0.162 0.500
Li4 0.162 0.662 0.500
Au1 0.860 0.640 0.000
Au2 0.640 0.140 0.000
Au3 0.360 0.860 0.000
Au4 0.140 0.360 0.000
Pt1 0.500 0.500 0.000
Pt2 0.000 0.000 0.000
# **SG**: No. 127
# **Relative energy among the computed polymorphs**: 0.0000 eV/atom
# **Formation energy**: -32.3 kJ per mole of atoms
# **Mass density**: 12.88 g/cm³

# LiPtAu2 (PBE, optimized geometry)
data_LiPtAu2
_space_group_name_H-M_alt 'P 1'
_space_group_IT_number 1
_space_group_name_Hall 'P 1'
_cell_length_a 2.792
_cell_length_b 4.158
_cell_length_c 5.638
_cell_angle_alpha 90.00
_cell_angle_beta 90.00
_cell_angle_gamma 90.00
loop_
_atom_site_label
_atom_site_fract_x
_atom_site_fract_y
_atom_site_fract_z
Au1 0.000 0.000 0.988
Au2 0.500 0.500 0.262
Pt1 0.500 0.500 0.743
Li1 0.000 0.000 0.507
# **SG**: No. 25
# **Formation energy**: -26.2 kJ per mole of atoms
# **Mass density**: 15.12 g/cm³

Q: Which value of mass density does entry 2 give?
A: 11.66 g/cm³